1.
This record from Alexandria describes a relaxed AcZnGa2Au2 crystal. The functional is PBE.

Properties
* crystal system: trigonal
* volume: 21.491 Å³ per atom
* ΔE_f: -0.50 eV/atom
* space-group type: P-3m1, No. 164

abc: 4.4796 4.4796 7.4200
angles: 90.00 90.00 120.00
Closest atoms and distances in Å follow each position.
Fractional coordinates of all 6 atoms:
Ac  0.0000  0.0000  0.0000  6 Ga 3.35, 6 Au 3.53, 2 Zn 3.71
Zn  0.0000  0.0000  0.5000  6 Au 2.90, 6 Ga 3.03
Ga  0.6667  0.3333  0.2871  4 Au 2.60-2.89
Ga  0.3333  0.6667  0.7129  4 Au 2.60-2.89
Au  0.6667  0.3333  0.6760  4 Ga 2.60-2.89, 3 Zn 2.90
Au  0.3333  0.6667  0.3240  4 Ga 2.60-2.89, 3 Zn 2.90



2.
This record from Alexandria describes a relaxed Ac3Zn2GaAu6 crystal. The functional is PBE.

Properties
* crystal system: trigonal
* volume: 25.644 Å³ per atom
* ΔE_f: -0.49 eV/atom
* space-group type: P-3m1, No. 164

abc: 6.4870 6.4870 8.4441
angles: 90.00 90.00 120.00
Closest atoms and distances in Å follow each position.
Fractional coordinates of all 12 atoms:
Ac  0.3333  0.6667  0.6422  9 Au 3.29-3.40, 1 Zn 3.36
Ac  0.6667  0.3333  0.3578  9 Au 3.29-3.40, 1 Zn 3.36
Ac  0.0000  0.0000  0.0000  6 Au 3.21
Zn  0.6667  0.3333  0.9603  3 Au 2.74
Zn  0.3333  0.6667  0.0397  3 Au 2.74
Ga  0.0000  0.0000  0.5000  6 Au 2.68
Au  0.6366  0.8183  0.2936  1 Ga 2.68, 1 Zn 2.74, 2 Au 2.95
Au  0.1817  0.3634  0.2936  1 Ga 2.68, 1 Zn 2.74, 2 Au 2.95
Au  0.1817  0.8183  0.2936  1 Ga 2.68, 1 Zn 2.74, 2 Au 2.95
Au  0.8183  0.6366  0.7064  1 Ga 2.68, 1 Zn 2.74, 2 Au 2.95
Au  0.3634  0.1817  0.7064  1 Ga 2.68, 1 Zn 2.74, 2 Au 2.95
Au  0.8183  0.1817  0.7064  1 Ga 2.68, 1 Zn 2.74, 2 Au 2.95



3.
This record from Alexandria describes a relaxed Ac3ZnGa2Au6 crystal. The functional is PBE.

Properties
* crystal system: trigonal
* volume: 25.637 Å³ per atom
* ΔE_f: -0.54 eV/atom
* space-group type: P-3m1, No. 164

abc: 6.5165 6.5165 8.3654
angles: 90.00 90.00 120.00
Closest atoms and distances in Å follow each position.
Fractional coordinates of all 12 atoms:
Ac  0.3333  0.6667  0.6482  9 Au 3.29-3.42, 1 Ga 3.33
Ac  0.6667  0.3333  0.3518  9 Au 3.29-3.42, 1 Ga 3.33
Ac  0.0000  0.0000  0.0000  6 Au 3.20
Zn  0.0000  0.0000  0.5000  6 Au 2.65
Ga  0.6667  0.3333  0.9534  3 Au 2.71
Ga  0.3333  0.6667  0.0466  3 Au 2.71
Au  0.6396  0.8198  0.2961  1 Zn 2.65, 1 Ga 2.71
Au  0.1802  0.3604  0.2961  1 Zn 2.65, 1 Ga 2.71
Au  0.1802  0.8198  0.2961  1 Zn 2.65, 1 Ga 2.71
Au  0.8198  0.6396  0.7039  1 Zn 2.65, 1 Ga 2.71
Au  0.3604  0.1802  0.7039  1 Zn 2.65, 1 Ga 2.71
Au  0.8198  0.1802  0.7039  1 Zn 2.65, 1 Ga 2.71



4.
This record from Alexandria describes a relaxed Ac2Zn3GaAu4 crystal. The functional is PBE.

Properties
* crystal system: tetragonal
* volume: 22.195 Å³ per atom
* ΔE_f: -0.59 eV/atom
* space-group type: P-4m2, No. 115

abc: 4.5512 4.5512 10.7152
angles: 90.00 90.00 90.00
Closest atoms and distances in Å follow each position.
Fractional coordinates of all 10 atoms:
Ac  0.5000  0.0000  0.2541  8 Au 3.45-3.55, 2 Ga 3.48, 6 Zn 3.48-3.49
Ac  0.0000  0.5000  0.7459  8 Au 3.45-3.55, 6 Zn 3.48-3.49, 2 Ga 3.48
Zn  0.0000  0.0000  0.5000  4 Au 2.67
Zn  0.5000  0.0000  0.8731  5 Au 2.60-2.65
Zn  0.0000  0.5000  0.1269  5 Au 2.60-2.65
Ga  0.5000  0.5000  0.5000  4 Au 2.67
Au  0.5000  0.5000  0.0000  4 Zn 2.65
Au  0.0000  0.0000  0.0000  4 Zn 2.65
Au  0.5000  0.0000  0.6304  3 Zn 2.60-2.67, 2 Ga 2.67
Au  0.0000  0.5000  0.3696  3 Zn 2.60-2.67, 2 Ga 2.67